# TiNi2O, optimized geometry, DFT GGA+U
# Density of states at the Fermi level = 0.967 states/eV/atom
# Magnetic moment = 0.00 μB/atom
# V = 238 Å³/cell
# Energy = -3.985 eV/atom
data_TiNi2O
_space_group_name_H-M_alt 'I -4 2 d'
_space_group_IT_number 122
_space_group_name_Hall 'I -4 2bw'
_cell_length_a 5.4219
_cell_length_b 5.4219
_cell_length_c 8.1079
_cell_angle_alpha 90.00
_cell_angle_beta 90.00
_cell_angle_gamma 90.00
loop_
_atom_site_label
_atom_site_fract_x
_atom_site_fract_y
_atom_site_fract_z
_atom_site_occupancy
Ti1 0.0000 0.0000 0.0000 1
Ni1 0.0735 0.2500 0.6250 1
O1 0.0000 0.0000 0.5000 1

=====

# TiV2NiO8, optimized geometry, DFT GGA+U
# Density of states at the Fermi level = 0.000 states/eV/atom
# Magnetic moment = 0.17 μB/atom
# V = 151 Å³/cell
# Energy = -7.358 eV/atom
data_TiV2NiO8
_space_group_name_H-M_alt 'P -3 m 1'
_space_group_IT_number 164
_space_group_name_Hall '-P 3 2"'
_cell_length_a 5.6626
_cell_length_b 5.6626
_cell_length_c 5.4455
_cell_angle_alpha 90.00
_cell_angle_beta 90.00
_cell_angle_gamma 120.00
loop_
_atom_site_label
_atom_site_fract_x
_atom_site_fract_y
_atom_site_fract_z
_atom_site_occupancy
Ti1 0.0000 0.0000 0.0000 1
V1 0.3333 0.6667 0.6880 1
Ni1 0.0000 0.0000 0.5000 1
O1 0.1557 0.3114 0.7726 1
O2 0.3333 0.6667 0.3904 1

=====

# TiVNi2O6, optimized geometry, DFT GGA+U
# Density of states at the Fermi level = 0.173 states/eV/atom
# Magnetic moment = 0.10 μB/atom
# V = 124 Å³/cell
# Energy = -6.567 eV/atom
data_TiVNi2O6
_space_group_name_H-M_alt 'P 4 m m'
_space_group_IT_number 99
_cell_length_a 5.4841
_cell_length_b 5.4841
_cell_length_c 4.1345
_cell_angle_alpha 90.00
_cell_angle_beta 90.00
_cell_angle_gamma 90.00
loop_
_space_group_symop_operation_xyz
'x,y,z'
'-y,x,z'
'-x,-y,z'
'y,-x,z'
'-x,y,z'
'y,x,z'
'x,-y,z'
'-y,-x,z'
loop_
_atom_site_label
_atom_site_fract_x
_atom_site_fract_y
_atom_site_fract_z
_atom_site_occupancy
Ti1 0.0000 0.0000 0.0000 1
V1 0.5000 0.5000 0.9967 1
Ni1 0.0000 0.5000 0.1787 1
O1 0.0000 0.0000 0.5936 1
O2 0.2580 0.2580 0.1021 1
O3 0.5000 0.5000 0.6040 1

=====

# Ti2NiWO, optimized geometry, DFT GGA+U
# Density of states at the Fermi level = 0.762 states/eV/atom
# Magnetic moment = 0.32 μB/atom
# V = 68 Å³/cell
# Energy = -6.489 eV/atom
data_Ti2NiWO
_space_group_name_H-M_alt 'P 4/m m m'
_space_group_IT_number 123
_space_group_name_Hall '-P 4 2'
_cell_length_a 4.1649
_cell_length_b 4.1649
_cell_length_c 3.9458
_cell_angle_alpha 90.00
_cell_angle_beta 90.00
_cell_angle_gamma 90.00
loop_
_atom_site_label
_atom_site_fract_x
_atom_site_fract_y
_atom_site_fract_z
_atom_site_occupancy
Ti1 0.0000 0.5000 0.0000 1
Ni1 0.0000 0.0000 0.5000 1
W1 0.5000 0.5000 0.5000 1
O1 0.0000 0.0000 0.0000 1

=====

# Tl2NiO, optimized geometry, DFT GGA+U
# Density of states at the Fermi level = 0.033 states/eV/atom
# Relative energy among the computed polymorphs = 0 meV per atom
# Magnetic moment = 0.00 μB/atom
# V = 313 Å³/cell
# Energy = -2.828 eV/atom
data_Tl2NiO
_space_group_name_H-M_alt 'I -4 2 d'
_space_group_IT_number 122
_space_group_name_Hall 'I -4 2bw'
_cell_length_a 6.4118
_cell_length_b 6.4118
_cell_length_c 7.6072
_cell_angle_alpha 90.00
_cell_angle_beta 90.00
_cell_angle_gamma 90.00
loop_
_atom_site_label
_atom_site_fract_x
_atom_site_fract_y
_atom_site_fract_z
_atom_site_occupancy
Tl1 0.2237 0.2500 0.1250 1
Ni1 0.0000 0.0000 0.5000 1
O1 0.0000 0.0000 0.0000 1

=====

# TlNiO3, optimized geometry, DFT GGA+U
# Density of states at the Fermi level = 0.248 states/eV/atom
# Magnetic moment = 0.20 μB/atom
# V = 345 Å³/cell
# Energy = -4.594 eV/atom
data_TlNiO3
_space_group_name_H-M_alt 'R 3 c'
_space_group_IT_number 161
_space_group_name_Hall 'R 3 -2"c'
_cell_length_a 5.4181
_cell_length_b 5.4181
_cell_length_c 13.5818
_cell_angle_alpha 90.00
_cell_angle_beta 90.00
_cell_angle_gamma 120.00
loop_
_atom_site_label
_atom_site_fract_x
_atom_site_fract_y
_atom_site_fract_z
_atom_site_occupancy
Tl1 0.0000 0.0000 0.0000 1
Ni1 0.0000 0.0000 0.2714 1
O1 0.0121 0.4058 0.0294 1

=====

# TlNiO3, optimized geometry, DFT GGA+U
# Density of states at the Fermi level = 0.910 states/eV/atom
# Magnetic moment = 0.43 μB/atom
# V = 71 Å³/cell
# Energy = -3.260 eV/atom
data_TlNiO3
_space_group_name_H-M_alt 'P m -3 m'
_space_group_IT_number 221
_space_group_name_Hall '-P 4 2 3'
_cell_length_a 4.1488
_cell_length_b 4.1488
_cell_length_c 4.1488
_cell_angle_alpha 90.00
_cell_angle_beta 90.00
_cell_angle_gamma 90.00
loop_
_atom_site_label
_atom_site_fract_x
_atom_site_fract_y
_atom_site_fract_z
_atom_site_occupancy
Tl1 0.0000 0.0000 0.0000 1
Ni1 0.5000 0.5000 0.5000 1
O1 0.0000 0.0000 0.5000 1

=====

# Tl2NiO, optimized geometry, DFT GGA+U
# Density of states at the Fermi level = 0.915 states/eV/atom
# Relative energy among the computed polymorphs = 330 meV per atom
# Magnetic moment = 0.27 μB/atom
# V = 284 Å³/cell
# Energy = -2.498 eV/atom
data_Tl2NiO
_space_group_name_H-M_alt 'F m -3 m'
_space_group_IT_number 225
_space_group_name_Hall '-F 4 2 3'
_cell_length_a 6.5743
_cell_length_b 6.5743
_cell_length_c 6.5743
_cell_angle_alpha 90.00
_cell_angle_beta 90.00
_cell_angle_gamma 90.00
loop_
_atom_site_label
_atom_site_fract_x
_atom_site_fract_y
_atom_site_fract_z
_atom_site_occupancy
Tl1 0.2500 0.2500 0.2500 1
Ni1 0.0000 0.0000 0.0000 1
O1 0.0000 0.0000 0.5000 1

=====

# TlNiO2, optimized geometry, DFT GGA+U
# Density of states at the Fermi level = 0.264 states/eV/atom
# Magnetic moment = 0.00 μB/atom
# V = 228 Å³/cell
# Energy = -4.230 eV/atom
data_TlNiO2
_space_group_name_H-M_alt 'P n m a'
_space_group_IT_number 62
_cell_length_a 6.4600
_cell_length_b 2.9130
_cell_length_c 12.0988
_cell_angle_alpha 90.00
_cell_angle_beta 90.00
_cell_angle_gamma 90.00
loop_
_space_group_symop_operation_xyz
'x,y,z'
'-x,-y,-z'
'-x+1/2,-y,z+1/2'
'x+1/2,y,-z+1/2'
'x+1/2,-y+1/2,-z+1/2'
'-x+1/2,y+1/2,z+1/2'
'-x,y+1/2,-z'
'x,-y+1/2,z'
loop_
_atom_site_label
_atom_site_fract_x
_atom_site_fract_y
_atom_site_fract_z
_atom_site_occupancy
Tl1 0.1379 0.2500 0.1313 1
Ni1 0.1420 0.7500 0.3912 1
O1 0.0008 0.7500 0.6783 1
O2 0.2013 0.7500 0.9549 1

=====

# Tl3NiO, optimized geometry, DFT GGA+U
# Density of states at the Fermi level = 0.724 states/eV/atom
# Relative energy among the computed polymorphs = 91 meV per atom
# Magnetic moment = 0.00 μB/atom
# V = 119 Å³/cell
# Energy = -2.355 eV/atom
data_Tl3NiO
_space_group_name_H-M_alt 'P m -3 m'
_space_group_IT_number 221
_space_group_name_Hall '-P 4 2 3'
_cell_length_a 4.9194
_cell_length_b 4.9194
_cell_length_c 4.9194
_cell_angle_alpha 90.00
_cell_angle_beta 90.00
_cell_angle_gamma 90.00
loop_
_atom_site_label
_atom_site_fract_x
_atom_site_fract_y
_atom_site_fract_z
_atom_site_occupancy
Tl1 0.0000 0.0000 0.5000 1
Ni1 0.5000 0.5000 0.5000 1
O1 0.0000 0.0000 0.0000 1

=====

# Tl2NiO4, optimized geometry, DFT GGA+U
# Density of states at the Fermi level = 0.155 states/eV/atom
# Magnetic moment = 0.29 μB/atom
# V = 441 Å³/cell
# Energy = -4.471 eV/atom
data_Tl2NiO4
_space_group_name_H-M_alt 'I -4 2 d'
_space_group_IT_number 122
_space_group_name_Hall 'I -4 2bw'
_cell_length_a 7.4254
_cell_length_b 7.4254
_cell_length_c 7.9943
_cell_angle_alpha 90.00
_cell_angle_beta 90.00
_cell_angle_gamma 90.00
loop_
_atom_site_label
_atom_site_fract_x
_atom_site_fract_y
_atom_site_fract_z
_atom_site_occupancy
Tl1 0.1565 0.7500 0.1250 1
Ni1 0.0000 0.0000 0.5000 1
O1 0.0187 0.7206 0.8834 1